Material: La2Al6OsRu
Method: DFT, PBE
State: relaxed

POSCAR file:
```
La2Al6OsRu
1.0
6.706 0.000 0.002
0.000 6.707 0.002
3.355 3.355 4.742
La Al Os Ru
2 6 1 1
Direct
0.250 0.750 0.500
0.750 0.250 0.500
0.251 0.749 0.000
0.749 0.749 0.000
0.251 0.251 0.497
0.749 0.251 0.000
0.251 0.251 0.000
0.749 0.749 0.503
0.000 0.000 0.000
0.500 0.500 0.000
```

Calculated values
Total DFT energy (no corrections), eV per cell: -57.5
Calculated volume, A^3/atom: 21.32
Symmetry: Fm-3m, No. 225
Crystal system: cubic
Formation enthalpy at 0 K, kJ/mol of atoms: -45